1.
SrPm8Pb6 | Alexandria via LeMat-Bulk | PBE | relaxed; total DFT energy (no corrections) = -68.06 eV per cell; magnetization = 0.00 μB/cell; crystal system = trigonal
1.0
9.531 0.000 0.000
4.765 8.254 0.000
4.765 2.751 6.621
Sr Pm Pb
1 8 6
Direct
0.000 0.000 0.000
0.570 0.230 0.300
0.770 0.101 0.700
0.101 0.430 0.700
0.667 0.667 0.999
0.333 0.333 0.001
0.899 0.570 0.300
0.230 0.899 0.300
0.430 0.770 0.700
0.411 0.071 0.785
0.929 0.267 0.215
0.267 0.589 0.215
0.733 0.411 0.785
0.071 0.733 0.785
0.589 0.929 0.215

2.
SrPm5Pb8 | Alexandria via LeMat-Bulk | PBE | relaxed; total DFT energy (no corrections) = -60.62 eV per cell; magnetization = 0.00 μB/cell; crystal system = tetragonal
1.0
8.434 -0.214 0.368
-3.055 7.864 -0.368
-2.324 -4.082 7.018
Sr Pm Pb
1 5 8
Direct
0.250 0.500 0.750
0.995 0.420 0.149
0.851 0.846 0.271
0.729 0.580 0.575
0.500 0.000 0.500
0.425 0.154 0.005
0.125 0.779 0.042
0.958 0.083 0.738
0.770 0.197 0.331
0.669 0.439 0.866
0.427 0.561 0.230
0.655 0.917 0.875
0.262 0.221 0.345
0.134 0.803 0.573

3.
SrPmPb2 | Alexandria via LeMat-Bulk | PBE | relaxed; total DFT energy (no corrections) = -15.70 eV per cell; magnetization = 0.00 μB/cell; crystal system = tetragonal
1.0
4.525 0.000 0.000
0.000 5.324 0.000
0.000 0.000 5.324
Pb Sr Pm
2 1 1
Direct
0.000 0.000 0.500
0.000 0.500 0.000
0.500 0.000 0.000
0.500 0.500 0.500

4.
SrPm2Pb3 | Alexandria via LeMat-Bulk | PBE | relaxed; total DFT energy (no corrections) = -25.34 eV per cell; magnetization = 0.00 μB/cell; crystal system = tetragonal
1.0
3.643 0.000 0.000
0.000 3.643 0.000
0.000 0.000 14.031
Sr Pm Pb
1 2 3
Direct
0.500 0.500 0.500
0.500 0.500 0.838
0.500 0.500 0.162
0.000 0.000 0.000
0.000 0.000 0.675
0.000 0.000 0.325